# 1
Entry from Alexandria: Ti5VRe6 after structural relaxation (PBE).

Output
* formation enthalpy at 0 K: -0.40 eV per atom

Structure (CIF):
```
data_Ti5VRe6
_chemical_formula_sum 'Ti5 V1 Re6'
_cell_length_a 7.6056
_cell_length_b 7.6056
_cell_length_c 7.6056
_cell_angle_alpha 146.53
_cell_angle_beta 131.79
_cell_angle_gamma 59.97
_symmetry_space_group_name_H-M 'P 1'
_symmetry_Int_Tables_number 1
_symmetry_space_group_name_Hall 'P 1'
loop_
_atom_site_label
_atom_site_type_symbol
_atom_site_fract_x
_atom_site_fract_y
_atom_site_fract_z
Ti1 Ti 0.0000 0.0000 0.0000
Ti2 Ti 0.1664 0.6664 0.5000
Ti3 Ti 0.3330 0.3330 0.0000
Ti4 Ti 0.6670 0.6670 0.0000
Ti5 Ti 0.8336 0.3336 0.5000
V1 V 0.5000 0.0000 0.5000
Re1 Re 0.0877 0.8353 0.2524
Re2 Re 0.2549 0.5000 0.7549
Re3 Re 0.4171 0.1647 0.2524
Re4 Re 0.5829 0.8353 0.7476
Re5 Re 0.7451 0.5000 0.2451
Re6 Re 0.9123 0.1647 0.7476
```

# 2
Entry from Alexandria: TlFeIr2 after structural relaxation (PBE).

Output
* ΔE to the lowest computed polymorph: 163 meV/atom
* formation enthalpy at 0 K: 0.47 eV per atom

Structure (CIF):
```
data_TlFeIr2
_chemical_formula_sum 'Tl1 Fe1 Ir2'
_cell_length_a 4.6676
_cell_length_b 4.6676
_cell_length_c 3.0254
_cell_angle_alpha 90.00
_cell_angle_beta 90.00
_cell_angle_gamma 101.70
_symmetry_space_group_name_H-M 'P 1'
_symmetry_Int_Tables_number 1
_symmetry_space_group_name_Hall 'P 1'
loop_
_atom_site_label
_atom_site_type_symbol
_atom_site_fract_x
_atom_site_fract_y
_atom_site_fract_z
Tl1 Tl 0.0000 0.0000 0.0000
Fe1 Fe 0.5000 0.5000 0.0000
Ir1 Ir 0.0000 0.5000 0.5000
Ir2 Ir 0.5000 0.0000 0.5000
```

# 3
Entry from Alexandria: CdP2W after structural relaxation (PBE).

Output
* ΔE to the lowest computed polymorph: 245 meV/atom
* formation enthalpy at 0 K: 0.22 eV per atom

Structure (CIF):
```
data_CdP2W
_chemical_formula_sum 'Cd1 P2 W1'
_cell_length_a 3.3466
_cell_length_b 3.3466
_cell_length_c 6.9783
_cell_angle_alpha 90.00
_cell_angle_beta 90.00
_cell_angle_gamma 90.00
_symmetry_space_group_name_H-M 'P 1'
_symmetry_Int_Tables_number 1
_symmetry_space_group_name_Hall 'P 1'
loop_
_atom_site_label
_atom_site_type_symbol
_atom_site_fract_x
_atom_site_fract_y
_atom_site_fract_z
Cd1 Cd 0.0000 0.0000 0.0000
P1 P 0.0000 0.0000 0.6298
P2 P 0.5000 0.5000 0.1991
W1 W 0.5000 0.5000 0.5217
```

# 4
Entry from Alexandria: CaTcCl2 after structural relaxation (PBE).

Output
* ΔE to the lowest computed polymorph: 740 meV/atom

Structure (CIF):
```
data_CaTcCl2
_chemical_formula_sum 'Ca1 Tc1 Cl2'
_cell_length_a 5.1433
_cell_length_b 5.1433
_cell_length_c 5.1433
_cell_angle_alpha 60.00
_cell_angle_beta 60.00
_cell_angle_gamma 60.00
_symmetry_space_group_name_H-M 'P 1'
_symmetry_Int_Tables_number 1
_symmetry_space_group_name_Hall 'P 1'
loop_
_atom_site_label
_atom_site_type_symbol
_atom_site_fract_x
_atom_site_fract_y
_atom_site_fract_z
Ca1 Ca 0.0000 0.0000 0.0000
Tc1 Tc 0.7500 0.7500 0.7500
Cl1 Cl 0.2500 0.2500 0.2500
Cl2 Cl 0.5000 0.5000 0.5000
```

# 5
Entry from Alexandria: InGe2Pb2Au7 after structural relaxation (PBE).

Output
* formation enthalpy at 0 K: -0.03 eV per atom

Structure (CIF):
```
data_InGe2Pb2Au7
_chemical_formula_sum 'In1 Ge2 Pb2 Au7'
_cell_length_a 4.5948
_cell_length_b 4.5948
_cell_length_c 12.8921
_cell_angle_alpha 95.10
_cell_angle_beta 95.10
_cell_angle_gamma 76.83
_symmetry_space_group_name_H-M 'P 1'
_symmetry_Int_Tables_number 1
_symmetry_space_group_name_Hall 'P 1'
loop_
_atom_site_label
_atom_site_type_symbol
_atom_site_fract_x
_atom_site_fract_y
_atom_site_fract_z
In1 In 0.0000 0.0000 0.0000
Ge1 Ge 0.4536 0.4536 0.7425
Ge2 Ge 0.5464 0.5464 0.2576
Pb1 Pb 0.0304 0.0304 0.3621
Pb2 Pb 0.9696 0.9696 0.6379
Au1 Au 0.0251 0.5244 0.1532
Au2 Au 0.3271 0.3271 0.5401
Au3 Au 0.4756 0.9749 0.8468
Au4 Au 0.5000 0.5000 0.0000
Au5 Au 0.5244 0.0251 0.1532
Au6 Au 0.6729 0.6729 0.4599
Au7 Au 0.9749 0.4756 0.8468
```

# 6
Entry from Alexandria: Ac2P2O7 after structural relaxation (PBE).

Output
* final energy: -7.369 eV per atom

Structure (CIF):
```
data_Ac2P2O7
_chemical_formula_sum 'Ac2 P2 O7'
_cell_length_a 6.6852
_cell_length_b 6.6852
_cell_length_c 4.1730
_cell_angle_alpha 97.24
_cell_angle_beta 97.24
_cell_angle_gamma 108.54
_symmetry_space_group_name_H-M 'P 1'
_symmetry_Int_Tables_number 1
_symmetry_space_group_name_Hall 'P 1'
loop_
_atom_site_label
_atom_site_type_symbol
_atom_site_fract_x
_atom_site_fract_y
_atom_site_fract_z
Ac1 Ac 0.1943 0.8057 0.0000
Ac2 Ac 0.8057 0.1943 0.0000
P1 P 0.3149 0.3149 0.6145
P2 P 0.6851 0.6851 0.3855
O1 O 0.1637 0.1637 0.3095
O2 O 0.1902 0.4275 0.8149
O3 O 0.4275 0.1902 0.8149
O4 O 0.5000 0.5000 0.5000
O5 O 0.5725 0.8098 0.1851
O6 O 0.8098 0.5725 0.1851
O7 O 0.8363 0.8363 0.6905
```

# 7
Entry from Alexandria: Ac3Nd2Dy6 after structural relaxation (PBE).

Output
* formation enthalpy at 0 K: 0.23 eV per atom

Structure (CIF):
```
data_Ac3Nd2Dy6
_chemical_formula_sum 'Ac3 Nd2 Dy6'
_cell_length_a 6.4036
_cell_length_b 6.4036
_cell_length_c 11.8088
_cell_angle_alpha 95.22
_cell_angle_beta 95.22
_cell_angle_gamma 120.09
_symmetry_space_group_name_H-M 'P 1'
_symmetry_Int_Tables_number 1
_symmetry_space_group_name_Hall 'P 1'
loop_
_atom_site_label
_atom_site_type_symbol
_atom_site_fract_x
_atom_site_fract_y
_atom_site_fract_z
Ac1 Ac 0.0000 0.0000 0.0000
Ac2 Ac 0.3349 0.6651 0.0000
Ac3 Ac 0.6651 0.3349 0.0000
Nd1 Nd 0.1663 0.8337 0.5000
Nd2 Nd 0.8337 0.1663 0.5000
Dy1 Dy 0.0874 0.4192 0.2575
Dy2 Dy 0.2493 0.2493 0.7430
Dy3 Dy 0.4192 0.0874 0.2575
Dy4 Dy 0.5808 0.9126 0.7425
Dy5 Dy 0.7507 0.7507 0.2570
Dy6 Dy 0.9126 0.5808 0.7425
```

# 8
Entry from Alexandria: NaPd2RhAu after structural relaxation (PBE).

Output
* formation enthalpy at 0 K: 1.22 eV per atom

Structure (CIF):
```
data_NaPd2RhAu
_chemical_formula_sum 'Na1 Pd2 Rh1 Au1'
_cell_length_a 4.5434
_cell_length_b 4.5434
_cell_length_c 4.6172
_cell_angle_alpha 90.00
_cell_angle_beta 90.00
_cell_angle_gamma 90.00
_symmetry_space_group_name_H-M 'P 1'
_symmetry_Int_Tables_number 1
_symmetry_space_group_name_Hall 'P 1'
loop_
_atom_site_label
_atom_site_type_symbol
_atom_site_fract_x
_atom_site_fract_y
_atom_site_fract_z
Na1 Na 0.0000 0.0000 0.0000
Pd1 Pd 0.0000 0.5000 0.0000
Pd2 Pd 0.5000 0.0000 0.0000
Rh1 Rh 0.0000 0.0000 0.5000
Au1 Au 0.5000 0.5000 0.5000
```

# 9
Entry from Alexandria: Pm2SbS after structural relaxation (PBE).

Output
* ΔE to the lowest computed polymorph: 2 meV/atom

Structure (CIF):
```
data_Pm2SbS
_chemical_formula_sum 'Pm6 Sb3 S3'
_cell_length_a 4.2708
_cell_length_b 4.2708
_cell_length_c 20.8347
_cell_angle_alpha 90.00
_cell_angle_beta 90.00
_cell_angle_gamma 120.00
_symmetry_space_group_name_H-M 'P 1'
_symmetry_Int_Tables_number 1
_symmetry_space_group_name_Hall 'P 1'
loop_
_atom_site_label
_atom_site_type_symbol
_atom_site_fract_x
_atom_site_fract_y
_atom_site_fract_z
Pm1 Pm 0.0000 0.0000 0.2236
Pm2 Pm 0.0000 0.0000 0.7764
Pm3 Pm 0.3333 0.6667 0.4079
Pm4 Pm 0.3333 0.6667 0.9276
Pm5 Pm 0.6667 0.3333 0.0724
Pm6 Pm 0.6667 0.3333 0.5921
Sb1 Sb 0.0000 0.0000 0.5000
Sb2 Sb 0.3333 0.6667 0.6848
Sb3 Sb 0.6667 0.3333 0.3152
S1 S 0.0000 0.0000 0.0000
S2 S 0.3333 0.6667 0.1485
S3 S 0.6667 0.3333 0.8515
```

# 10
Entry from Alexandria: Nd5Y12Th2 after structural relaxation (PBE).

Output
* formation enthalpy at 0 K: 0.10 eV per atom

Structure (CIF):
```
data_Nd5Y12Th2
_chemical_formula_sum 'Nd5 Y12 Th2'
_cell_length_a 6.8555
_cell_length_b 7.1687
_cell_length_c 14.2164
_cell_angle_alpha 75.49
_cell_angle_beta 77.13
_cell_angle_gamma 75.03
_symmetry_space_group_name_H-M 'P 1'
_symmetry_Int_Tables_number 1
_symmetry_space_group_name_Hall 'P 1'
loop_
_atom_site_label
_atom_site_type_symbol
_atom_site_fract_x
_atom_site_fract_y
_atom_site_fract_z
Nd1 Nd 0.0000 0.0000 0.0000
Nd2 Nd 0.2736 0.9369 0.4806
Nd3 Nd 0.3836 0.1175 0.0986
Nd4 Nd 0.6164 0.8825 0.9014
Nd5 Nd 0.7264 0.0631 0.5194
Y1 Y 0.0282 0.8397 0.2972
Y2 Y 0.0353 0.3357 0.3123
Y3 Y 0.1478 0.5162 0.9030
Y4 Y 0.3398 0.5964 0.1079
Y5 Y 0.4276 0.7822 0.7123
Y6 Y 0.4303 0.2925 0.7139
Y7 Y 0.5697 0.7075 0.2861
Y8 Y 0.5724 0.2178 0.2877
Y9 Y 0.6602 0.4036 0.8921
Y10 Y 0.8522 0.4838 0.0970
Y11 Y 0.9647 0.6643 0.6877
Y12 Y 0.9718 0.1603 0.7028
Th1 Th 0.2687 0.4420 0.4838
Th2 Th 0.7313 0.5580 0.5162
```

# 11
Entry from Alexandria: BaAlAs after structural relaxation (PBE).

Output
* formation enthalpy at 0 K: -0.30 eV per atom

Structure (CIF):
```
data_BaAlAs
_chemical_formula_sum 'Ba4 Al4 As4'
_cell_length_a 9.3607
_cell_length_b 8.6140
_cell_length_c 7.5472
_cell_angle_alpha 70.44
_cell_angle_beta 60.12
_cell_angle_gamma 49.44
_symmetry_space_group_name_H-M 'P 1'
_symmetry_Int_Tables_number 1
_symmetry_space_group_name_Hall 'P 1'
loop_
_atom_site_label
_atom_site_type_symbol
_atom_site_fract_x
_atom_site_fract_y
_atom_site_fract_z
Ba1 Ba 0.0326 0.0326 0.7174
Ba2 Ba 0.2826 0.2826 0.9674
Ba3 Ba 0.7174 0.7174 0.0326
Ba4 Ba 0.9674 0.9674 0.2826
Al1 Al 0.0000 0.5000 0.5000
Al2 Al 0.5000 0.0000 0.5000
Al3 Al 0.5000 0.5000 0.0000
Al4 Al 0.5000 0.5000 0.5000
As1 As 0.1394 0.6106 0.6106
As2 As 0.3894 0.8606 0.8606
As3 As 0.6106 0.1394 0.1394
As4 As 0.8606 0.3894 0.3894
```